The following is a DFT calculation (PBE-GGA) of a relaxed Ca2In2Ag3 crystal.

Space-group type: C2/m (12)

a b c (Å): 11.3908 4.5170 7.2880
angles (deg): 90.00 113.25 90.00
Element x y z (fractional)
Ca 0.1358 0.0000 0.2627
Ca 0.3642 0.5000 0.7373
Ca 0.6358 0.5000 0.2627
Ca 0.8642 0.0000 0.7373
In 0.1532 0.0000 0.7335
In 0.3468 0.5000 0.2665
In 0.6532 0.5000 0.7335
In 0.8468 0.0000 0.2665
Ag 0.0000 0.5000 0.5000
Ag 0.1014 0.5000 0.9309
Ag 0.3986 0.0000 0.0691
Ag 0.5000 0.0000 0.5000
Ag 0.6014 0.0000 0.9309
Ag 0.8986 0.5000 0.0691

***

The following is a DFT calculation (PBE-GGA) of a relaxed CaIn6Ag12 crystal.

Space-group type: R-3m (166)

a b c (Å): 7.8331 7.8331 7.8331
angles (deg): 104.89 104.89 104.89
Element x y z (fractional)
Ca 0.0000 0.0000 0.0000
In 0.2935 0.2935 0.7003
In 0.2935 0.7003 0.2935
In 0.2997 0.7065 0.7065
In 0.7003 0.2935 0.2935
In 0.7065 0.2997 0.7065
In 0.7065 0.7065 0.2997
Ag 0.1110 0.5000 0.8890
Ag 0.1110 0.8890 0.5000
Ag 0.1163 0.3561 0.3561
Ag 0.3561 0.1163 0.3561
Ag 0.3561 0.3561 0.1163
Ag 0.5000 0.1110 0.8890
Ag 0.5000 0.8890 0.1110
Ag 0.6439 0.6439 0.8837
Ag 0.6439 0.8837 0.6439
Ag 0.8837 0.6439 0.6439
Ag 0.8890 0.1110 0.5000
Ag 0.8890 0.5000 0.1110

***

Number 1: DFT formation energy -294.4 meV per atom. Number 2: DFT formation energy 21.7 meV per atom.